[1]
Entry from the Alexandria database: a relaxed TbNd7Tl4 crystal (PBE-GGA).

Cell: 14.9693 5.9111 10.5577 Å, 90.00 122.95 90.00°
With the nearest neighbours (Å) after each atom.
Space group C2/m (No. 12)
Symmetry-distinct sites (fractional):
Tb: 0.0000 0.0000 0.0000 x2  2 Nd 2.96
Nd: 0.0000 0.5000 0.0000 x2  2 Tb 2.96, 4 Tl 3.09-3.25
Nd: 0.0616 0.0000 0.3935 x4  3 Tl 3.27-3.34, 3 Nd 3.42-3.60
Nd: 0.2039 0.0000 0.8827 x4  3 Nd 3.42-3.61, 4 Tl 3.47-3.61
Nd: 0.2281 0.5000 0.6675 x4  4 Tl 3.08-3.23
Tl: 0.0564 0.5000 0.7432 x4  4 Nd 3.08-3.34, 1 Tl 3.26
Tl: 0.1863 0.5000 0.3341 x4  5 Nd 3.09-3.27, 1 Tl 3.26

magnetic moment: 0.0 μB per formula unit
energy relative to the elements: -0.071 eV/atom
E: -96.63 eV/cell

[2]
Entry from the Alexandria database: a relaxed Tb5Nd4Tl2 crystal (PBE-GGA).

Cell: 5.2706 5.2706 48.1536 Å, 90.00 90.00 120.00°
With the nearest neighbours (Å) after each atom.
Space group R-3m (No. 166, hexagonal axes)
Symmetry-distinct sites (fractional):
Tb: 0.0000 0.0000 0.0000 x3  6 Tb 3.41, 2 Nd 3.55, 6 Tl 3.67
Tb: 0.0000 0.0000 0.1487 x6  3 Tb 3.50, 5 Nd 3.59-3.64
Tb: 0.0000 0.0000 0.3015 x6  3 Tl 3.09, 3 Tb 3.41
Nd: 0.0000 0.0000 0.0737 x6  3 Tl 3.39, 3 Nd 3.49, 5 Tb 3.55-3.65
Nd: 0.0000 0.0000 0.2242 x6  3 Nd 3.49, 5 Tb 3.59-3.72
Tl: 0.0000 0.0000 0.3759 x6  3 Tb 3.09, 3 Nd 3.39

magnetic moment: 0.0 μB per formula unit
energy relative to the elements: 0.227 eV/atom
E: -133.36 eV/cell

[3]
Entry from the Alexandria database: a relaxed TbNd3Tl3 crystal (PBE-GGA).

Cell: 9.5664 9.5664 9.5664 Å, 90.00 90.00 90.00°
With the nearest neighbours (Å) after each atom.
Space group P2_13 (No. 198)
Symmetry-distinct sites (fractional):
Tb: 0.0736 0.4264 0.5736 x4  6 Tl 3.18-3.39
Nd: 0.0704 0.5704 0.9296 x4  6 Tl 3.23-3.38
Nd: 0.1739 0.1739 0.1739 x4  6 Tl 3.23-3.43
Nd: 0.1760 0.8240 0.3240 x4  6 Tl 3.21-3.46
Tl: 0.0013 0.7463 0.6308 x12  2 Tb 3.18-3.39, 6 Nd 3.21-3.46

magnetic moment: 0.0 μB per formula unit
energy relative to the elements: -0.278 eV/atom
E: -111.92 eV/cell

[4]
Entry from the Alexandria database: a relaxed TbNdTl4 crystal (PBE-GGA).

Cell: 5.1038 5.0946 7.6574 Å, 90.00 90.05 90.00°
With the nearest neighbours (Å) after each atom.
Space group P2/m (No. 10)
Symmetry-distinct sites (fractional):
Tb: 0.0000 0.0000 0.0000 x1  8 Tl 3.14
Nd: 0.5000 0.5000 0.5000 x1  8 Tl 3.23-3.24
Tl: 0.9998 0.5000 0.2403 x2  2 Tb 3.14, 2 Nd 3.23-3.24
Tl: 0.5003 0.0000 0.2394 x2  2 Tb 3.14, 2 Nd 3.24

magnetic moment: 0.0 μB per formula unit
energy relative to the elements: -0.019 eV/atom
E: -18.98 eV/cell

[5]
Entry from the Alexandria database: a relaxed TbNdTl crystal (PBE-GGA).

Cell: 7.4669 7.4669 7.4669 Å, 90.00 90.00 90.00°
With the nearest neighbours (Å) after each atom.
Space group F-43m (No. 216)
Symmetry-distinct sites (fractional):
Tb: 0.0000 0.0000 0.0000 x4  4 Tl 3.23
Nd: 0.0000 0.0000 0.5000 x4  4 Tl 3.23
Tl: 0.2500 0.2500 0.7500 x4  4 Tb 3.23, 4 Nd 3.23

magnetic moment: 0.5 μB per formula unit
energy relative to the elements: -0.040 eV/atom
E: -47.53 eV/cell

[6]
Entry from the Alexandria database: a relaxed TbNdTl crystal (PBE-GGA).

Cell: 5.5185 5.5185 6.7905 Å, 90.00 90.00 120.00°
With the nearest neighbours (Å) after each atom.
Space group P6_3/mmc (No. 194)
Symmetry-distinct sites (fractional):
Tb: 0.3333 0.6667 0.2500 x2  5 Tl 3.19-3.40
Nd: 0.0000 0.0000 0.0000 x2  2 Nd 3.40, 6 Tb 3.61, 6 Tl 3.61
Tl: 0.3333 0.6667 0.7500 x2  5 Tb 3.19-3.40

magnetic moment: 0.0 μB per formula unit
energy relative to the elements: -0.264 eV/atom
E: -25.12 eV/cell

[7]
Entry from the Alexandria database: a relaxed TbNd3Tl4 crystal (PBE-GGA).

Cell: 3.8755 3.8755 15.5786 Å, 90.00 90.00 90.00°
With the nearest neighbours (Å) after each atom.
Space group P4/mmm (No. 123)
Symmetry-distinct sites (fractional):
Tb: 0.0000 0.0000 0.0000 x1  8 Tl 3.29
Nd: 0.0000 0.0000 0.2456 x2  8 Tl 3.38-3.39
Nd: 0.0000 0.0000 0.5000 x1  8 Tl 3.38
Tl: 0.5000 0.5000 0.1174 x2  4 Tb 3.29, 4 Nd 3.39, 1 Tl 3.66
Tl: 0.5000 0.5000 0.3726 x2  8 Nd 3.38

magnetic moment: 0.0 μB per formula unit
energy relative to the elements: -0.386 eV/atom
E: -31.49 eV/cell

[8]
Entry from the Alexandria database: a relaxed Tb3Nd2Tl7 crystal (PBE-GGA).

Cell: 5.3312 25.7592 5.4608 Å, 90.00 90.00 90.00°
With the nearest neighbours (Å) after each atom.
Space group Cmmm (No. 65)
Symmetry-distinct sites (fractional):
Tb: 0.0000 0.0000 0.0000 x2  8 Tl 3.31-3.34
Tb: 0.0000 0.1509 0.0000 x4  6 Tl 3.26-3.39
Nd: 0.0000 0.3498 0.5000 x4  7 Tl 3.22-3.33
Tl: 0.0000 0.0729 0.5000 x4  2 Tl 3.26, 4 Tb 3.31-3.39, 2 Nd 3.33
Tl: 0.0000 0.2205 0.5000 x4  2 Tl 3.07, 3 Nd 3.22-3.33, 2 Tb 3.27
Tl: 0.0000 0.4219 0.0000 x4  4 Tb 3.26-3.34, 2 Nd 3.30, 2 Tl 3.39
Tl: 0.0000 0.5000 0.5000 x2  8 Tl 3.26-3.39

magnetic moment: 0.0 μB per formula unit
energy relative to the elements: -0.114 eV/atom
E: -82.71 eV/cell

[9]
Entry from the Alexandria database: a relaxed Tb7NdTl2 crystal (PBE-GGA).

Cell: 9.2040 15.4363 5.4812 Å, 90.00 90.00 90.00°
With the nearest neighbours (Å) after each atom.
Space group Cmmm (No. 65)
Symmetry-distinct sites (fractional):
Tb: 0.0000 0.0000 0.0000 x2  2 Tl 3.01
Tb: 0.0000 0.2691 0.5000 x4  2 Tl 2.97
Tb: 0.1812 0.3784 0.0000 x8  2 Tl 3.15-3.28, 2 Tb 3.34-3.48
Nd: 0.0000 0.5000 0.5000 x2  10 Tb 3.56-3.72
Tl: 0.0000 0.1952 0.0000 x4  7 Tb 2.97-3.28

magnetic moment: 2.0 μB per formula unit
energy relative to the elements: 0.356 eV/atom
E: -76.70 eV/cell

[10]
Entry from the Alexandria database: a relaxed Tb3Nd5Tl crystal (PBE-GGA).

Cell: 13.8322 8.1155 11.4742 Å, 90.00 96.18 90.00°
With the nearest neighbours (Å) after each atom.
Space group C2/m (No. 12)
Symmetry-distinct sites (fractional):
Tb: 0.0000 0.0000 0.0000 x2  2 Nd 2.68
Tb: 0.0000 0.0000 0.5000 x2  2 Tl 3.19
Tb: 0.1695 0.5000 0.2175 x4  4 Nd 2.98-3.32
Tb: 0.2424 0.5000 0.5260 x4  1 Tl 3.14
Nd: 0.0000 0.3308 0.0000 x4  1 Tb 2.68, 1 Nd 2.75
Nd: 0.0085 0.5000 0.3709 x4  1 Tb 2.98, 3 Nd 3.00-3.21
Nd: 0.1253 0.2132 0.7536 x8  2 Nd 3.21-3.46, 1 Tb 3.31, 1 Tl 3.51
Nd: 0.2378 0.0000 0.0377 x4  2 Tb 3.27-3.32, 1 Tl 3.37
Tl: 0.0965 0.0000 0.2595 x4  3 Tb 3.13-3.19, 1 Nd 3.37

magnetic moment: 0.3 μB per formula unit
energy relative to the elements: 0.378 eV/atom
E: -146.77 eV/cell

[11]
Entry from the Alexandria database: a relaxed TbNd5Tl2 crystal (PBE-GGA).

Cell: 3.7143 11.0780 12.5556 Å, 90.00 90.00 90.00°
With the nearest neighbours (Å) after each atom.
Space group Immm (No. 71)
Symmetry-distinct sites (fractional):
Tb: 0.0000 0.0000 0.0000 x2  4 Tl 3.37, 2 Tb 3.71
Nd: 0.0000 0.2216 0.3618 x8  3 Tl 3.27-3.53, 5 Nd 3.42-3.53
Nd: 0.0000 0.5000 0.0000 x2  2 Tl 3.46, 10 Nd 3.53-3.71
Tl: 0.0000 0.5000 0.2759 x4  7 Nd 3.27-3.53, 2 Tb 3.37

magnetic moment: 0.0 μB per formula unit
energy relative to the elements: -0.112 eV/atom
E: -68.20 eV/cell

[12]
Entry from the Alexandria database: a relaxed Tb3Nd2Tl2 crystal (PBE-GGA).

Cell: 9.5084 5.4986 8.7923 Å, 90.00 111.20 90.00°
With the nearest neighbours (Å) after each atom.
Space group C2/m (No. 12)
Symmetry-distinct sites (fractional):
Tb: 0.0000 0.0000 0.0000 x2  6 Tl 3.40-3.41, 2 Tb 3.78
Tb: 0.1537 0.0000 0.4610 x4  1 Tl 3.18, 3 Tb 3.24, 3 Nd 3.53-3.54
Nd: 0.0766 0.5000 0.7296 x4  4 Tl 3.32-3.46, 3 Tb 3.53-3.54
Tl: 0.2172 0.5000 0.1514 x4  4 Tb 3.18-3.41, 4 Nd 3.32-3.46

magnetic moment: 0.0 μB per formula unit
energy relative to the elements: -0.201 eV/atom
E: -59.13 eV/cell

Repeat the third record exactly.
Entry from the Alexandria database: a relaxed TbNd3Tl3 crystal (PBE-GGA).

Cell: 9.5664 9.5664 9.5664 Å, 90.00 90.00 90.00°
With the nearest neighbours (Å) after each atom.
Space group P2_13 (No. 198)
Symmetry-distinct sites (fractional):
Tb: 0.0736 0.4264 0.5736 x4  6 Tl 3.18-3.39
Nd: 0.0704 0.5704 0.9296 x4  6 Tl 3.23-3.38
Nd: 0.1739 0.1739 0.1739 x4  6 Tl 3.23-3.43
Nd: 0.1760 0.8240 0.3240 x4  6 Tl 3.21-3.46
Tl: 0.0013 0.7463 0.6308 x12  2 Tb 3.18-3.39, 6 Nd 3.21-3.46

magnetic moment: 0.0 μB per formula unit
energy relative to the elements: -0.278 eV/atom
E: -111.92 eV/cell